Record 1
The following is a DFT calculation (PBE) of a geometry-optimized Ba2LiZr structure.

a = 6.717 Å, b = 6.717 Å, c = 6.717 Å
α = 143.95°, β = 126.24°, γ = 66.45°
Positions (direct):
Ba 0.982 0.982 0.000
Ba 0.518 0.518 0.000
Zr 0.250 0.750 0.500
Li 0.750 0.250 0.500

Output
The density of states at the Fermi level comes out at 1.191 states/eV per atom. The space-group type is No. 71. The energy of formation from the pure elements comes out at 0.6113 eV per atom. As for the crystal system: orthorhombic.

Record 2
The following is a DFT calculation (PBE) of a geometry-optimized Ba5Lu structure.

a = 4.650 Å, b = 6.842 Å, c = 10.824 Å
α = 108.42°, β = 90.00°, γ = 90.00°
Positions (direct):
Lu 0.000 0.000 0.000
Ba 0.000 0.673 0.346
Ba 0.500 0.147 0.295
Ba 0.500 0.500 0.000
Ba 0.000 0.327 0.654
Ba 0.500 0.853 0.705

Output
The density of states at the Fermi level comes out at 1.266 states/eV per atom. The space-group type is No. 65. The energy of formation from the pure elements comes out at 0.1611 eV per atom. As for the crystal system: orthorhombic.

Record 3
The following is a DFT calculation (PBE) of a geometry-optimized Ba2LuMg structure.

a = 3.723 Å, b = 3.723 Å, c = 13.425 Å
α = 82.03°, β = 82.03°, γ = 60.00°
Positions (direct):
Lu 0.000 0.000 0.000
Mg 0.500 0.500 0.500
Ba 0.089 0.089 0.733
Ba 0.911 0.911 0.267

Output
The density of states at the Fermi level comes out at 1.279 states/eV per atom. The space-group type is No. 166. The energy of formation from the pure elements comes out at 0.3894 eV per atom. As for the crystal system: trigonal.

Record 4
The following is a DFT calculation (PBE) of a geometry-optimized BaLuMg structure.

a = 3.975 Å, b = 3.975 Å, c = 7.407 Å
α = 105.56°, β = 105.56°, γ = 90.00°
Positions (direct):
Mg 0.688 0.688 0.376
Lu 0.303 0.303 0.605
Ba 0.009 0.009 0.019

Output
The density of states at the Fermi level comes out at 1.092 states/eV per atom. The space-group type is No. 107. The energy of formation from the pure elements comes out at 0.1204 eV per atom. As for the crystal system: tetragonal.

Record 5
The following is a DFT calculation (PBE) of a geometry-optimized BaLuMg4 structure.

a = 6.257 Å, b = 6.257 Å, c = 6.257 Å
α = 60.00°, β = 60.00°, γ = 60.00°
Positions (direct):
Mg 0.626 0.626 0.626
Mg 0.626 0.122 0.626
Mg 0.122 0.626 0.626
Mg 0.626 0.626 0.122
Lu 0.000 0.000 0.000
Ba 0.250 0.250 0.250

Output
The density of states at the Fermi level comes out at 0.840 states/eV per atom. The space-group type is No. 216. The energy of formation from the pure elements comes out at -0.0003 eV per atom. As for the crystal system: cubic.

Record 6
The following is a DFT calculation (PBE) of a geometry-optimized BaLuMgTl structure.

a = 5.690 Å, b = 5.690 Å, c = 5.690 Å
α = 60.00°, β = 60.00°, γ = 60.00°
Positions (direct):
Tl 0.000 0.000 0.000
Mg 0.500 0.500 0.500
Ba 0.750 0.750 0.750
Lu 0.250 0.250 0.250

Output
The density of states at the Fermi level comes out at 0.669 states/eV per atom. The space-group type is No. 216. The energy of formation from the pure elements comes out at -0.0925 eV per atom. As for the crystal system: cubic.